# ScZnH2

Crystalline ScZnH2 at its relaxed geometry (PBE, Alexandria).

Cell lengths 5.4530, 5.4530, 5.4530 Å; angles 90.00, 90.00, 90.00 degrees
Element x y z (fractional)
Sc (0.0000, 0.0000, 0.0000)
Sc (0.0000, 0.5000, 0.5000)
Sc (0.5000, 0.0000, 0.5000)
Sc (0.5000, 0.5000, 0.0000)
Zn (0.0000, 0.0000, 0.5000)
Zn (0.0000, 0.5000, 0.0000)
Zn (0.5000, 0.0000, 0.0000)
Zn (0.5000, 0.5000, 0.5000)
H (0.2500, 0.2500, 0.2500)
H (0.2500, 0.2500, 0.7500)
H (0.2500, 0.7500, 0.2500)
H (0.2500, 0.7500, 0.7500)
H (0.7500, 0.2500, 0.2500)
H (0.7500, 0.2500, 0.7500)
H (0.7500, 0.7500, 0.2500)
H (0.7500, 0.7500, 0.7500)

Summary:
- crystal system = cubic
- uncorrected energy (eV per atom) = -3.6290